VASP calculation (PBE) on crystalline InSn4As5 at its relaxed geometry.

Computed properties:
- DFT formation energy: -0.3 eV/f.u.
- DOS at the Fermi energy: 1.395 states/eV/cell

a = 22.2395 Å, b = 22.2395 Å, c = 22.2395 Å
α = 10.84°, β = 10.84°, γ = 10.84°
Fractional coordinates of all 10 atoms:
In 0.0000 0.0000 0.0000
Sn 0.1952 0.1952 0.1952
Sn 0.3887 0.3887 0.3887
Sn 0.6073 0.6073 0.6073
Sn 0.8021 0.8021 0.8021
As 0.1552 0.1552 0.1552
As 0.3489 0.3489 0.3489
As 0.5464 0.5464 0.5464
As 0.7399 0.7399 0.7399
As 0.9603 0.9603 0.9603

=====

VASP calculation (PBE) on crystalline PmSm4HoEr2 at its relaxed geometry.

Computed properties:
- DFT formation energy: 0.1 eV/f.u.
- DOS at the Fermi energy: 11.019 states/eV/cell

a = 6.2084 Å, b = 3.5933 Å, c = 11.8671 Å
α = 90.00°, β = 100.11°, γ = 90.00°
Fractional coordinates of all 8 atoms:
Pm 0.0000 0.0000 0.0000
Sm 0.2498 0.0000 0.7491
Sm 0.2514 0.5000 0.2525
Sm 0.7486 0.5000 0.7475
Sm 0.7502 0.0000 0.2509
Ho 0.0000 0.5000 0.5000
Er 0.5000 0.0000 0.5000
Er 0.5000 0.5000 0.0000

=====

VASP calculation (PBE) on crystalline YMg2Hg at its relaxed geometry.

Computed properties:
- DFT formation energy: -1.0 eV/f.u.
- DOS at the Fermi energy: 2.657 states/eV/cell

a = 4.4127 Å, b = 4.5097 Å, c = 4.8536 Å
α = 90.00°, β = 90.00°, γ = 90.00°
Fractional coordinates of all 4 atoms:
Y 0.0000 0.0000 0.0000
Mg 0.0000 0.5000 0.5000
Mg 0.5000 0.0000 0.5000
Hg 0.5000 0.5000 0.0000

=====

VASP calculation (PBE) on crystalline CsCdAs3 at its relaxed geometry.

Computed properties:
- DFT formation energy: 2.2 eV/f.u.
- DOS at the Fermi energy: 4.581 states/eV/cell

a = 5.3883 Å, b = 5.3883 Å, c = 5.3883 Å
α = 90.00°, β = 90.00°, γ = 90.00°
Fractional coordinates of all 5 atoms:
Cs 0.0000 0.0000 0.0000
Cd 0.5000 0.5000 0.5000
As 0.0000 0.5000 0.5000
As 0.5000 0.0000 0.5000
As 0.5000 0.5000 0.0000

=====

VASP calculation (PBE) on crystalline Cs2TmReN4 at its relaxed geometry.

Computed properties:
- Uncorrected formation energy: -0.409 eV/atom
- DOS at the Fermi energy: 0.000 states/eV/cell

a = 13.6290 Å, b = 12.2600 Å, c = 7.2328 Å
α = 84.54°, β = 63.57°, γ = 31.89°
Fractional coordinates of all 16 atoms:
Cs 0.0521 0.0521 0.6979
Cs 0.3021 0.3021 0.9479
Cs 0.6979 0.6979 0.0521
Cs 0.9479 0.9479 0.3021
Tm 0.1250 0.1250 0.1250
Tm 0.8750 0.8750 0.8750
Re 0.3750 0.3750 0.3750
Re 0.6250 0.6250 0.6250
N 0.0510 0.6181 0.5457
N 0.2852 0.5457 0.6181
N 0.3819 0.9490 0.7148
N 0.4543 0.7148 0.9490
N 0.5457 0.2852 0.0510
N 0.6181 0.0510 0.2852
N 0.7148 0.4543 0.3819
N 0.9490 0.3819 0.4543

=====

VASP calculation (PBE) on crystalline MgAl2Sb at its relaxed geometry.

Computed properties:
- Uncorrected formation energy: 0.117 eV/atom
- DOS at the Fermi energy: 2.299 states/eV/cell

a = 3.6851 Å, b = 3.6851 Å, c = 6.2152 Å
α = 90.00°, β = 90.00°, γ = 90.00°
Fractional coordinates of all 4 atoms:
Mg 0.0000 0.0000 0.0000
Al 0.5000 0.5000 0.2470
Al 0.5000 0.5000 0.7530
Sb 0.0000 0.0000 0.5000

=====

VASP calculation (PBE) on crystalline Ac2HgPbO5 at its relaxed geometry.

Computed properties:
- Uncorrected formation energy: -1.900 eV/atom
- DOS at the Fermi energy: 1.209 states/eV/cell

a = 7.2870 Å, b = 7.2870 Å, c = 6.4337 Å
α = 90.00°, β = 90.00°, γ = 90.00°
Fractional coordinates of all 18 atoms:
Ac 0.1859 0.3141 0.0000
Ac 0.3141 0.8141 0.0000
Ac 0.6859 0.1859 0.0000
Ac 0.8141 0.6859 0.0000
Hg 0.0000 0.0000 0.5000
Hg 0.5000 0.5000 0.5000
Pb 0.0000 0.5000 0.5000
Pb 0.5000 0.0000 0.5000
O 0.0000 0.0000 0.0000
O 0.1292 0.6292 0.2397
O 0.1292 0.6292 0.7603
O 0.3708 0.1292 0.2397
O 0.3708 0.1292 0.7603
O 0.5000 0.5000 0.0000
O 0.6292 0.8708 0.2397
O 0.6292 0.8708 0.7603
O 0.8708 0.3708 0.2397
O 0.8708 0.3708 0.7603

=====

VASP calculation (PBE) on crystalline KCa2NiHg at its relaxed geometry.

Computed properties:
- DFT formation energy: -0.3 eV/f.u.
- DOS at the Fermi energy: 2.287 states/eV/cell

a = 5.4796 Å, b = 5.4796 Å, c = 5.2594 Å
α = 90.00°, β = 90.00°, γ = 90.00°
Fractional coordinates of all 5 atoms:
K 0.0000 0.0000 0.0000
Ca 0.0000 0.5000 0.5000
Ca 0.5000 0.0000 0.5000
Ni 0.5000 0.5000 0.5000
Hg 0.5000 0.5000 0.0000